Record 1
# Tm3Al2Hg6 PBE relaxed
# DFT total energy   -48.831 eV for the cell shown
# Formation energy   -1.7 eV per formula unit
# Crystal system   tetragonal
# M_tot   0.00 μB per formula unit
data_Tm3Al2Hg6
_chemical_formula_sum 'Tm6 Al4 Hg12'
_space_group_name_H-M_alt 'I 4/m m m'
_space_group_IT_number 139
_space_group_name_Hall '-I 4 2'
_cell_length_a 4.221
_cell_length_b 4.221
_cell_length_c 30.326
_cell_angle_alpha 90.00
_cell_angle_beta 90.00
_cell_angle_gamma 90.00
loop_
_atom_site_label
_atom_site_fract_x
_atom_site_fract_y
_atom_site_fract_z
Tm1 0.000 0.000 0.000
Tm2 0.000 0.000 0.171
Al1 0.000 0.000 0.362
Hg1 0.000 0.000 0.272
Hg2 0.000 0.500 0.075

Record 2
# Y2Sb2Se PBE relaxed
# DFT total energy   -59.844 eV for the cell shown
# ΔE to the lowest computed polymorph   0 meV per atom
# Crystal system   tetragonal
# Formation energy (no corrections)   -1.053 eV per atom
# M_tot   0.00 μB per formula unit
data_Y2Sb2Se
_chemical_formula_sum 'Y4 Sb4 Se2'
_space_group_name_H-M_alt 'P 4/m b m'
_space_group_IT_number 127
_space_group_name_Hall '-P 4 2ab'
_cell_length_a 7.812
_cell_length_b 7.812
_cell_length_c 4.504
_cell_angle_alpha 90.00
_cell_angle_beta 90.00
_cell_angle_gamma 90.00
loop_
_atom_site_label
_atom_site_fract_x
_atom_site_fract_y
_atom_site_fract_z
Y1 0.176 0.324 0.000
Sb1 0.129 0.629 0.500
Se1 0.000 0.000 0.000

Record 3
# SrO PBE relaxed
# DFT total energy   -48.416 eV for the cell shown
# Crystal system   cubic
# Formation energy (no corrections)   -2.732 eV per atom
# M_tot   0.00 μB per formula unit
data_SrO
_chemical_formula_sum 'Sr4 O4'
_space_group_name_H-M_alt 'F m -3 m'
_space_group_IT_number 225
_space_group_name_Hall '-F 4 2 3'
_cell_length_a 5.205
_cell_length_b 5.205
_cell_length_c 5.205
_cell_angle_alpha 90.00
_cell_angle_beta 90.00
_cell_angle_gamma 90.00
loop_
_atom_site_label
_atom_site_fract_x
_atom_site_fract_y
_atom_site_fract_z
Sr1 0.000 0.000 0.000
O1 0.000 0.000 0.500